First-principles (PBE) data for ErTm2Co after structural relaxation, as listed in the Alexandria database.

Computed properties:
- Size of the total moment: 0.0 μB per cell
- Energy above the lowest structure with this stoichiometry: 0.0000 eV/atom
- Fermi-level density of states: 1.107 states/eV/atom

a b c (Å): 6.884 9.204 6.170
angles (deg): 90.00 90.00 90.00
Positions (direct):
Er: 0.042 0.250 0.138
Er: 0.458 0.750 0.638
Er: 0.542 0.250 0.362
Er: 0.958 0.750 0.862
Tm: 0.175 0.067 0.677
Tm: 0.175 0.433 0.677
Tm: 0.325 0.567 0.177
Tm: 0.325 0.933 0.177
Tm: 0.675 0.067 0.823
Tm: 0.675 0.433 0.823
Tm: 0.825 0.567 0.323
Tm: 0.825 0.933 0.323
Co: 0.113 0.750 0.455
Co: 0.387 0.250 0.955
Co: 0.613 0.750 0.045
Co: 0.887 0.250 0.545